Entry 1:
## PmPa2Ni6 (PBE)

Data for PmPa2Ni6 after structural relaxation.

a = 3.459 Å, b = 7.548 Å, c = 7.548 Å
α = 54.85°, β = 76.75°, γ = 76.75°
Sites, in units of the cell vectors:
Ni 0.179 0.122 0.520
Pa 0.355 0.145 0.145
Ni 0.821 0.480 0.878
Ni 0.821 0.878 0.480
Ni 0.000 0.174 0.826
Ni 0.179 0.520 0.122
Pa 0.645 0.855 0.855
Pm 0.500 0.500 0.500
Ni 0.000 0.826 0.174

Output
For the energy of formation from the pure elements, the calculation gives -0.27 eV per atom. As for the energy: -6.76 eV per atom.



Entry 2:
## PmPaNi4 (PBE)

Data for PmPaNi4 after structural relaxation.

a = 5.090 Å, b = 5.090 Å, c = 5.090 Å
α = 60.00°, β = 60.00°, γ = 60.00°
Sites, in units of the cell vectors:
Ni 0.626 0.626 0.122
Pm 0.250 0.250 0.250
Ni 0.626 0.626 0.626
Ni 0.122 0.626 0.626
Ni 0.626 0.122 0.626
Pa 0.000 0.000 0.000

Output
For the energy of formation from the pure elements, the calculation gives -0.29 eV per atom. As for the energy: -6.52 eV per atom.



Entry 3:
## PmPa2Ni6 (PBE)

Data for PmPa2Ni6 after structural relaxation.

a = 3.423 Å, b = 7.188 Å, c = 7.188 Å
α = 120.00°, β = 90.00°, γ = 90.00°
Sites, in units of the cell vectors:
Ni 0.500 0.339 0.339
Pm 0.000 0.000 0.000
Ni 0.500 0.339 0.000
Ni 0.500 0.661 0.661
Ni 0.500 0.000 0.339
Ni 0.500 0.661 0.000
Pa 0.000 0.333 0.667
Pa 0.000 0.667 0.333
Ni 0.500 0.000 0.661

Output
For the energy of formation from the pure elements, the calculation gives -0.31 eV per atom. As for the energy: -6.80 eV per atom.



Entry 4:
## PmPaNi10 (PBE)

Data for PmPaNi10 after structural relaxation.

a = 3.995 Å, b = 4.891 Å, c = 8.433 Å
α = 90.00°, β = 90.00°, γ = 90.00°
Sites, in units of the cell vectors:
Ni 0.000 0.500 0.179
Ni 0.500 0.000 0.500
Ni 0.500 0.254 0.745
Ni 0.000 0.500 0.821
Ni 0.000 0.000 0.340
Ni 0.500 0.500 0.000
Ni 0.500 0.254 0.255
Pm 0.000 0.000 0.000
Ni 0.500 0.746 0.255
Ni 0.500 0.746 0.745
Pa 0.000 0.500 0.500
Ni 0.000 0.000 0.660

Output
For the energy of formation from the pure elements, the calculation gives -0.35 eV per atom. As for the energy: -6.35 eV per atom.



Entry 5:
## PmPaNiPt (PBE)

Data for PmPaNiPt after structural relaxation.

a = 4.937 Å, b = 4.937 Å, c = 4.937 Å
α = 60.00°, β = 60.00°, γ = 60.00°
Sites, in units of the cell vectors:
Pa 0.500 0.500 0.500
Ni 0.750 0.750 0.750
Pt 0.250 0.250 0.250
Pm 0.000 0.000 0.000

Output
For the energy of formation from the pure elements, the calculation gives -0.48 eV per atom. As for the energy: -6.99 eV per atom.



Entry 6:
## PmPaNiS4 (PBE)

Data for PmPaNiS4 after structural relaxation.

a = 6.318 Å, b = 5.946 Å, c = 7.697 Å
α = 90.00°, β = 106.60°, γ = 90.00°
Sites, in units of the cell vectors:
Pm 0.249 0.250 0.059
S 0.018 0.988 0.744
S 0.570 0.250 0.876
S 0.018 0.512 0.744
S 0.982 0.012 0.256
Pa 0.755 0.750 0.442
S 0.430 0.750 0.124
Ni 0.237 0.750 0.329
Ni 0.763 0.250 0.671
S 0.434 0.750 0.610
Pm 0.751 0.750 0.941
Pa 0.245 0.250 0.558
S 0.566 0.250 0.390
S 0.982 0.488 0.256

Output
The uncorrected formation energy is -1487 meV/atom. As for the energy: -6.71 eV per atom.



Question: Which value of energy does entry 1 give?
Answer: -6.76 eV per atom